3
Lattice="0.000 3.183 3.183 3.183 0.000 3.183 3.183 3.183 0.000" Properties=species:S:1:pos:R:3 comment="PBE-GGA TbZnW, relaxed" e_tot_ev_per_atom=-5.48 pbc="T T T"
Tb 1.592 1.592 1.592
W 4.775 4.775 4.775
Zn 0.000 0.000 0.000

22
Lattice="-4.710 2.811 0.051 -2.257 -3.722 -3.270 -3.359 -5.791 8.909" Properties=species:S:1:pos:R:3 comment="PBE-GGA CsNdNb2O7, relaxed" e_tot_ev_per_atom=-8.24 pbc="T T T"
Cs -3.468 -3.189 3.589
Cs -6.868 -3.507 2.101
Nb -4.744 -0.045 1.049
Nb -3.512 -3.303 -0.604
Nb -6.721 -3.454 6.293
Nb -5.489 -6.711 4.640
Nd -1.879 -0.138 -0.798
Nd -5.369 -0.605 -2.418
O -4.089 0.772 -1.039
O -2.505 -1.906 -2.183
O -0.639 -0.939 1.173
O -5.083 -2.979 -1.828
O -3.622 -1.593 0.343
O -6.257 -0.649 -0.036
O -5.200 -0.728 2.640
O -4.217 -4.395 0.627
O -6.114 -2.304 5.063
O -5.130 -5.971 3.050
O -5.659 -5.104 5.744
O -8.293 -4.160 5.365
O -3.022 -5.047 7.494
O -7.467 -7.087 4.492

40
Lattice="-5.243 -8.899 -0.312 9.839 -5.686 -3.146 3.132 -2.337 14.022" Properties=species:S:1:pos:R:3 comment="PBE-GGA Cs3Cu2I5, relaxed" e_tot_ev_per_atom=-2.78 pbc="T T T"
Cs 2.142 -2.334 -0.131
Cs 2.664 -8.309 0.651
Cs 7.315 -10.998 -0.836
Cs 5.760 -4.214 2.935
Cs 10.412 -6.903 1.448
Cs 0.781 -7.725 5.357
Cs 6.947 -9.198 5.207
Cs -2.684 -10.020 9.116
Cs 1.968 -12.708 7.629
Cs 0.413 -5.925 11.400
Cs 5.065 -8.613 9.913
Cs 5.587 -14.588 10.695
Cu -1.146 -7.860 -0.427
Cu 6.396 -6.925 -0.626
Cu 4.529 -11.938 2.597
Cu 2.781 -4.385 5.577
Cu 4.947 -12.537 4.987
Cu 3.199 -4.984 7.967
Cu 1.333 -9.997 11.190
Cu 8.875 -9.062 10.991
I 0.075 -5.573 -0.740
I 4.674 -5.053 -1.067
I 8.382 -7.196 -2.253
I 3.584 -12.296 0.287
I -1.057 -8.988 1.890
I 1.823 -4.732 3.207
I 6.470 -8.045 1.632
I 3.279 -10.418 4.267
I 6.987 -12.561 3.082
I -1.066 -11.128 5.732
I 8.794 -5.795 4.831
I 0.742 -4.362 7.482
I 4.449 -6.504 6.296
I 1.258 -8.878 8.932
I 5.905 -12.191 7.357
I 8.786 -7.934 8.673
I 4.145 -4.626 10.276
I -0.653 -9.727 12.816
I 3.054 -11.869 11.631
I 7.653 -11.349 11.303

5
Lattice="-4.267 -4.038 3.076 -2.616 1.341 5.944 1.030 2.833 -5.907" Properties=species:S:1:pos:R:3 comment="PBE-GGA InSn2Pd2, relaxed" e_tot_ev_per_atom=-4.43 pbc="T T T"
In 0.000 0.000 0.000
Pd -3.339 -1.277 0.840
Pd -2.514 1.413 2.274
Sn -2.592 -1.016 3.398
Sn -4.291 -1.681 5.623

4
Lattice="0.000 3.287 3.287 3.287 0.000 3.287 3.287 3.287 0.000" Properties=species:S:1:pos:R:3 comment="PBE-GGA HfBeReBi, relaxed" relative_energy_mev_per_atom=0 pbc="T T T"
Be 4.931 4.931 4.931
Bi 3.287 3.287 3.287
Hf 0.000 0.000 0.000
Re 1.644 1.644 1.644

4
Lattice="0.000 2.819 2.819 2.819 0.000 2.819 2.819 2.819 0.000" Properties=species:S:1:pos:R:3 comment="PBE-GGA BeCo2Mo, relaxed" e_tot_ev_per_atom=-7.09 pbc="T T T"
Be 2.819 2.819 2.819
Co 0.000 0.000 0.000
Co 4.228 4.228 4.228
Mo 1.409 1.409 1.409

4
Lattice="-0.139 3.647 1.234 0.758 -1.677 5.040 5.309 0.425 -0.657" Properties=species:S:1:pos:R:3 comment="PBE-GGA NdTmMg2, relaxed" e_tot_ev_per_atom=-3.16 pbc="T T T"
Mg 1.624 1.091 2.974
Mg 3.924 2.143 0.123
Nd 1.336 0.107 -0.165
Tm 4.352 -0.520 2.028

8
Lattice="-2.307 -1.359 -2.922 3.201 -0.554 -2.270 0.765 -7.602 2.933" Properties=species:S:1:pos:R:3 comment="PBE-GGA PmHgNO, relaxed" relative_energy_mev_per_atom=156 pbc="T T T"
Hg -0.547 -4.959 -1.292
Hg 2.207 -4.556 -0.966
N 0.909 -3.796 -2.983
N 0.751 -5.720 0.724
O -0.930 -1.158 -2.759
O 1.824 -0.755 -2.433
Pm 0.333 -1.569 -0.877
Pm 1.326 -7.946 -1.381

24
Lattice="5.070 -2.915 0.000 5.070 2.915 0.000 -3.563 0.000 14.258" Properties=species:S:1:pos:R:3 comment="PBE-GGA Y2Ta4Sn3C3, relaxed" e_tot_ev_per_atom=-8.81 pbc="T T T"
C 2.535 1.458 0.000
C 4.174 -1.541 0.005
C 4.185 -1.541 7.124
C 0.754 -1.458 7.129
C 2.392 1.541 7.134
C 2.404 1.541 14.253
Sn 2.148 -0.669 3.505
Sn 4.179 2.823 3.565
Sn 6.211 -0.669 3.624
Sn 0.366 0.669 10.634
Sn 2.398 -2.823 10.694
Sn 4.430 0.669 10.753
Ta 0.854 0.557 1.064
Ta 7.550 0.442 1.064
Ta 0.809 0.442 6.065
Ta 7.505 0.557 6.065
Ta -0.927 -0.557 8.193
Ta 5.768 -0.442 8.193
Ta -0.972 -0.442 13.194
Ta 5.723 -0.557 13.194
Y 4.285 0.457 1.476
Y 4.074 0.457 5.653
Y 2.503 -0.457 8.605
Y 2.293 -0.457 12.782

20
Lattice="-1.217 0.434 2.203 1.111 -3.158 1.236 29.625 15.623 13.288" Properties=species:S:1:pos:R:3 comment="PBE-GGA GaCu9, relaxed" e_tot_ev_per_atom=-3.62 pbc="T T T"
Cu 5.731 1.689 4.314
Cu 6.879 3.627 3.085
Cu 7.885 2.824 5.280
Cu 8.996 4.744 4.035
Cu 10.007 3.944 6.232
Cu 11.114 5.861 4.985
Cu 12.123 5.059 7.181
Cu 13.227 6.975 5.933
Cu 14.234 6.172 8.128
Cu 15.338 8.088 6.880
Cu 16.345 7.286 9.075
Cu 17.449 9.202 7.827
Cu 18.458 8.400 10.022
Cu 19.565 10.317 8.775
Cu 20.576 9.517 10.973
Cu 21.687 11.437 9.727
Cu 22.693 10.633 11.922
Cu 23.841 12.572 10.693
Ga 4.623 2.438 2.074
Ga 24.949 11.823 12.934

4
Lattice="-3.927 -1.756 -0.308 -3.505 2.500 0.248 -2.404 0.697 -3.512" Properties=species:S:1:pos:R:3 comment="PBE-GGA SiNiAgPt, relaxed" e_tot_ev_per_atom=-5.06 pbc="T T T"
Ag -4.918 0.720 -1.786
Ni -7.377 1.081 -2.679
Pt -2.459 0.360 -0.893
Si 0.000 0.000 0.000

24
Lattice="-14.205 -3.474 6.671 0.059 -3.615 -1.757 4.989 -4.055 8.513" Properties=species:S:1:pos:R:3 comment="PBE-GGA CsZrAuSe3, relaxed" relative_energy_mev_per_atom=1 pbc="T T T"
Au -6.367 -4.804 2.773
Au -11.967 -7.762 8.672
Au 2.811 -3.382 4.756
Au -2.790 -6.340 10.655
Cs -3.498 -2.006 1.711
Cs -8.566 -5.397 8.518
Cs -0.590 -5.748 4.910
Cs -5.659 -9.138 11.716
Se -0.765 -3.268 -0.199
Se -7.749 -3.541 4.726
Se -11.230 -6.668 6.445
Se -3.901 -5.115 3.496
Se 0.452 -2.696 3.264
Se -6.052 -6.481 6.234
Se -3.105 -4.663 7.193
Se -9.608 -8.448 10.163
Se -5.255 -6.029 9.932
Se 2.074 -4.476 6.982
Se -1.408 -7.603 8.701
Se -8.392 -7.876 13.626
Zr -13.124 -5.035 7.619
Zr -5.262 -3.914 5.578
Zr -3.894 -7.230 7.849
Zr 3.967 -6.109 5.808

6
Lattice="2.086 2.201 3.910 -2.550 0.499 4.211 1.240 -2.673 3.975" Properties=species:S:1:pos:R:3 comment="PBE-GGA Cu2As, relaxed" e_tot_ev_per_atom=-3.83 pbc="T T T"
As 0.000 0.000 0.000
As 0.194 0.007 3.024
Cu -0.135 1.353 5.572
Cu 1.760 -0.233 5.454
Cu -0.558 -1.084 5.605
Cu 0.485 0.017 7.559

3
Lattice="2.679 17.649 14.295 3.051 19.061 12.263 0.732 18.708 13.134" Properties=species:S:1:pos:R:3 comment="PBE-GGA Cu, relaxed" relative_energy_mev_per_atom=298 pbc="T T T"
Cu 0.880 7.545 5.404
Cu 3.231 27.708 19.846
Cu 5.581 47.871 34.287

4
Lattice="-0.251 -3.587 -2.839 -3.753 -0.648 -2.547 0.167 0.650 -4.532" Properties=species:S:1:pos:R:3 comment="PBE-GGA LuCuTcGe, relaxed" relative_energy_mev_per_atom=309 pbc="T T T"
Cu -2.878 -2.689 -7.439
Ge 0.000 0.000 0.000
Lu -0.959 -0.896 -2.480
Tc -1.919 -1.793 -4.959

4
Lattice="0.000 3.380 3.380 3.380 0.000 3.380 3.380 3.380 0.000" Properties=species:S:1:pos:R:3 comment="PBE-GGA TaCuAgBi, relaxed" relative_energy_mev_per_atom=0 pbc="T T T"
Ag 3.380 3.380 3.380
Bi 0.000 0.000 0.000
Cu 5.071 5.071 5.071
Ta 1.690 1.690 1.690

4
Lattice="0.000 3.134 3.134 3.134 0.000 3.134 3.134 3.134 0.000" Properties=species:S:1:pos:R:3 comment="PBE-GGA Be2GaHg, relaxed" e_tot_ev_per_atom=-1.99 pbc="T T T"
Be 0.000 0.000 0.000
Be 4.701 4.701 4.701
Ga 3.134 3.134 3.134
Hg 1.567 1.567 1.567

24
Lattice="-4.610 -1.334 2.537 -1.547 -5.196 0.268 9.089 0.698 11.081" Properties=species:S:1:pos:R:3 comment="PBE-GGA In3Mo4W2C3, relaxed" e_tot_ev_per_atom=-8.68 pbc="T T T"
C -2.305 -0.667 1.269
C -4.329 -2.854 2.187
C -1.827 -3.677 0.619
C 1.713 -4.393 6.617
C 3.771 -2.249 5.675
C 1.220 -1.439 7.269
In -1.585 -4.497 4.439
In -2.082 -1.482 5.118
In 0.481 -2.325 3.531
In 2.452 -3.508 10.356
In 5.015 -4.350 8.768
In 4.518 -1.335 9.447
Mo -4.336 -4.706 3.286
Mo -0.175 -0.369 1.381
Mo -1.904 -5.224 7.312
Mo 2.191 -0.804 5.455
Mo 0.742 -5.028 8.432
Mo 4.837 -0.609 6.575
Mo 3.108 -5.464 12.506
Mo 7.269 -1.127 10.601
W -2.253 -2.482 2.310
W 0.110 -3.029 6.430
W 2.823 -2.803 7.456
W 5.186 -3.350 11.577

8
Lattice="-5.801 -1.502 -2.233 1.030 0.260 6.306 -1.088 4.196 0.005" Properties=species:S:1:pos:R:3 comment="PBE-GGA PrGa6Cu, relaxed" e_tot_ev_per_atom=-3.50 pbc="T T T"
Cu 0.000 0.000 0.000
Ga 0.242 0.059 3.200
Ga -2.209 -0.575 2.257
Ga -1.774 -0.465 4.922
Ga -1.103 1.951 1.554
Ga -0.535 2.095 5.032
Ga -3.735 1.266 3.800
Pr -4.068 1.183 0.616

8
Lattice="4.652 0.000 0.000 -2.326 4.029 0.000 0.000 0.000 9.714" Properties=species:S:1:pos:R:3 comment="PBE-GGA LaPrGe2Au4, relaxed" e_tot_ev_per_atom=-4.62 pbc="T T T"
Au 0.000 2.686 1.550
Au 0.000 0.000 3.329
Au 0.000 0.000 6.385
Au 0.000 2.686 8.164
Ge 2.326 1.343 2.434
Ge 2.326 1.343 7.280
La 0.000 0.000 0.000
Pr 0.000 2.686 4.857

8
Lattice="-3.086 2.091 -3.362 0.747 -4.964 -0.025 -3.146 -0.487 2.585" Properties=species:S:1:pos:R:3 comment="PBE-GGA GaCoNi6, relaxed" e_tot_ev_per_atom=-5.57 pbc="T T T"
Co 0.000 0.000 0.000
Ga -2.104 -2.856 0.155
Ni -1.548 1.022 -1.692
Ni -2.696 -0.389 -3.354
Ni -1.181 -1.415 -1.704
Ni -2.469 -0.372 0.177
Ni -4.026 0.682 -1.519
Ni -3.649 -1.822 -1.532

5
Lattice="-2.212 2.212 5.562 2.212 -2.212 5.562 2.212 2.212 -5.562" Properties=species:S:1:pos:R:3 comment="PBE-GGA SrLiCuP2, relaxed" e_tot_ev_per_atom=-3.79 pbc="T T T"
Cu 0.000 0.000 0.000
Li 2.212 0.000 2.781
P 0.000 2.212 1.691
P 0.000 2.212 3.871
Sr 0.000 0.000 5.562